Entry 1:
NdErSi2Os: optimized geometry, PBE-GGA.

Lattice parameters (Å, degrees): 5.9495 5.9495 10.1482 118.11 118.11 41.75
Closest atoms and distances in Å follow each position.
Fractional coordinates of all 10 atoms:
Er (0.1773, 0.1773, 0.1088)  5 Si 2.87-3.05
Er (0.8227, 0.8227, 0.8912)  5 Si 2.87-3.05
Nd (0.9839, 0.9839, 0.3172)  6 Si 2.96-3.19, 4 Os 3.18-3.24
Nd (0.0161, 0.0161, 0.6828)  6 Si 2.96-3.19, 4 Os 3.18-3.24
Os (0.7255, 0.7255, 0.3722)  4 Si 2.41-2.49
Os (0.2745, 0.2745, 0.6278)  4 Si 2.41-2.49
Si (0.5019, 0.5019, 0.1242)  1 Os 2.49, 1 Si 2.50
Si (0.3448, 0.3448, 0.4354)  3 Os 2.41-2.44
Si (0.6552, 0.6552, 0.5646)  3 Os 2.41-2.44
Si (0.4981, 0.4981, 0.8758)  1 Os 2.49, 1 Si 2.50

Results
space-group type	C2/m (12)
final energy	-70.0	eV for the cell shown


Entry 2:
Nd3Er3Te2Os: optimized geometry, PBE-GGA.

Lattice parameters (Å, degrees): 8.4971 8.4971 4.0165 90.00 90.00 120.00
Closest atoms and distances in Å follow each position.
Fractional coordinates of all 9 atoms:
Er (0.6051, 0.0000, 0.0000)  4 Te 3.29, 1 Os 3.36, 6 Nd 3.56-3.65
Er (0.3949, 0.3949, 0.0000)  4 Te 3.29, 1 Os 3.36, 6 Nd 3.56-3.65
Er (0.0000, 0.6051, 0.0000)  4 Te 3.29, 1 Os 3.36, 6 Nd 3.56-3.65
Nd (0.2458, 0.0000, 0.5000)  2 Os 2.90
Nd (0.0000, 0.2458, 0.5000)  2 Os 2.90
Nd (0.7542, 0.7542, 0.5000)  2 Os 2.90
Os (0.0000, 0.0000, 0.0000)  6 Nd 2.90
Te (0.6667, 0.3333, 0.5000)  3 Nd 3.27, 6 Er 3.29
Te (0.3333, 0.6667, 0.5000)  3 Nd 3.27, 6 Er 3.29

Results
ΔE to the lowest computed polymorph	15.58	kJ per mole of atoms
space-group type	P-62m (189)